{
  "formula": "MgNi2N",
  "functional": "PBE",
  "state": "optimized geometry",
  "lattice_angstrom": [[4.583, 0.000, 0.000], [0.000, 4.583, 0.000], [2.292, 2.292, 5.582]],
  "species": ["Ni", "Ni", "Ni", "Ni", "Mg", "Mg", "N", "N"],
  "frac_coords": [[0.351, 0.125, 0.250], [0.399, 0.625, 0.250], [0.375, 0.649, 0.750], [0.875, 0.601, 0.750], [0.000, 0.000, 0.000], [0.750, 0.250, 0.500], [0.500, 0.500, 0.000], [0.250, 0.750, 0.500]],
  "e_form_raw_kj_per_mol_atoms": 7,
  "magmom_total_mub_per_cell": 0.000,
  "total_energy_ev_per_atom": -5.293
}